[1]
Entry from Alexandria: a relaxed structure of LaCeDyAl (PBE).

It has space group F-43m (No. 216), with a = 7.712 Å, b = 7.712 Å, c = 7.712 Å, α = 90.00°, β = 90.00° and γ = 90.00°. The asymmetric unit holds La at (0.000, 0.000, 0.000), Ce at (0.000, 0.000, 0.500), Dy at (0.250, 0.250, 0.750) and Al at (0.250, 0.250, 0.250).

The calculation puts the formation energy at -6 meV/atom.

[2]
Entry from Alexandria: a relaxed structure of CeDyLuAl (PBE).

It has space group F-43m (No. 216), with a = 7.493 Å, b = 7.493 Å, c = 7.493 Å, α = 90.00°, β = 90.00° and γ = 90.00°. The asymmetric unit holds Ce at (0.000, 0.000, 0.000), Dy at (0.000, 0.000, 0.500), Lu at (0.250, 0.250, 0.750) and Al at (0.250, 0.250, 0.250).

The calculation puts the formation energy at -56 meV/atom.

[3]
Entry from Alexandria: a relaxed structure of CeDyMgAl (PBE).

It has space group F-43m (No. 216), with a = 7.401 Å, b = 7.401 Å, c = 7.401 Å, α = 90.00°, β = 90.00° and γ = 90.00°. The asymmetric unit holds Ce at (0.000, 0.000, 0.000), Dy at (0.000, 0.000, 0.500), Mg at (0.250, 0.250, 0.250) and Al at (0.250, 0.250, 0.750).

The calculation puts the formation energy at -188 meV/atom.

Number 1: spin magnetization 4.45 μB/cell. Number 2: spin magnetization 1.54 μB/cell. Number 3: spin magnetization 2.38 μB/cell.